No. 1
{"formula": "PmHoMg", "functional": "GGA-PBE", "state": "relaxed", "final_energy_ev_per_atom": -3.218, "polymorph_energy_ev_per_atom": 0.0000, "total_magnetization_mub_per_cell": 0.4, "lattice": [[0.000, 3.724, 3.724], [3.724, 0.000, 3.724], [3.724, 3.724, 0.000]], "species": ["Pm", "Ho", "Mg"], "fractional_positions": [[0.000, 0.000, 0.000], [0.500, 0.500, 0.500], [0.750, 0.750, 0.750]]}

=====

No. 2
{"formula": "PrHoMg", "functional": "GGA-PBE", "state": "relaxed", "final_energy_ev_per_atom": -3.244, "polymorph_energy_ev_per_atom": 0.0000, "total_magnetization_mub_per_cell": 0.4, "lattice": [[0.000, 3.749, 3.749], [3.749, 0.000, 3.749], [3.749, 3.749, 0.000]], "species": ["Pr", "Ho", "Mg"], "fractional_positions": [[0.000, 0.000, 0.000], [0.500, 0.500, 0.500], [0.750, 0.750, 0.750]]}

=====

No. 3
{"formula": "Pr2HoMg3Pt3", "functional": "GGA-PBE", "state": "relaxed", "final_energy_ev_per_atom": -5.016, "total_magnetization_mub_per_cell": 0.0, "lattice": [[4.120, 0.000, 0.000], [0.000, 6.491, 3.751], [0.000, -6.491, 3.751]], "species": ["Pr", "Pr", "Ho", "Mg", "Mg", "Mg", "Pt", "Pt", "Pt"], "fractional_positions": [[0.000, 0.207, 0.793], [0.000, 0.793, 0.207], [0.000, 0.613, 0.613], [0.500, 0.210, 0.448], [0.500, 0.448, 0.210], [0.500, 0.962, 0.962], [0.000, 0.215, 0.215], [0.500, 0.543, 0.863], [0.500, 0.863, 0.543]]}

=====

No. 4
{"formula": "PrHoMg2Sn2", "functional": "GGA-PBE", "state": "relaxed", "final_energy_ev_per_atom": -3.988, "total_magnetization_mub_per_cell": 0.0, "lattice": [[-2.231, 2.231, 8.037], [2.231, -2.231, 8.037], [2.231, 2.231, -8.037]], "species": ["Pr", "Ho", "Mg", "Mg", "Sn", "Sn"], "fractional_positions": [[0.000, 0.000, 0.000], [0.332, 0.332, 0.000], [0.168, 0.668, 0.500], [0.668, 0.168, 0.500], [0.532, 0.532, 0.000], [0.801, 0.801, 0.000]]}

=====

No. 5
{"formula": "Pr2HoMg4Tl2", "functional": "GGA-PBE", "state": "relaxed", "final_energy_ev_per_atom": -3.040, "total_magnetization_mub_per_cell": 0.0, "lattice": [[4.754, 0.000, 0.000], [0.000, 6.592, 3.886], [0.000, -6.592, 3.886]], "species": ["Pr", "Pr", "Ho", "Mg", "Mg", "Mg", "Mg", "Tl", "Tl"], "fractional_positions": [[0.000, 0.214, 0.786], [0.000, 0.786, 0.214], [0.000, 0.647, 0.647], [0.000, 0.226, 0.226], [0.500, 0.217, 0.460], [0.500, 0.460, 0.217], [0.500, 0.977, 0.977], [0.500, 0.551, 0.876], [0.500, 0.876, 0.551]]}

=====

No. 6
{"formula": "PrHo2Mg4Tl2", "functional": "GGA-PBE", "state": "relaxed", "final_energy_ev_per_atom": -3.003, "total_magnetization_mub_per_cell": 0.0, "lattice": [[4.698, 0.000, 0.000], [0.000, 6.669, 3.774], [0.000, -6.669, 3.774]], "species": ["Pr", "Ho", "Ho", "Mg", "Mg", "Mg", "Mg", "Tl", "Tl"], "fractional_positions": [[0.000, 0.000, 0.000], [0.000, 0.429, 0.864], [0.000, 0.864, 0.429], [0.000, 0.441, 0.441], [0.500, 0.191, 0.432], [0.500, 0.432, 0.191], [0.500, 0.676, 0.676], [0.500, 0.099, 0.758], [0.500, 0.758, 0.099]]}

=====

No. 7
{"formula": "HoMgPt", "functional": "GGA-PBE", "state": "relaxed", "final_energy_ev_per_atom": -4.863, "total_magnetization_mub_per_cell": 0.0, "lattice": [[4.636, 0.000, 0.000], [-2.318, 4.015, 0.000], [0.000, 0.000, 6.709]], "species": ["Ho", "Ho", "Mg", "Mg", "Pt", "Pt"], "fractional_positions": [[0.000, 0.000, 0.000], [0.000, 0.000, 0.500], [0.333, 0.667, 0.260], [0.667, 0.333, 0.760], [0.333, 0.667, 0.719], [0.667, 0.333, 0.219]]}

=====

No. 8
{"formula": "HoMgPt", "functional": "GGA-PBE", "state": "relaxed", "final_energy_ev_per_atom": -4.215, "total_magnetization_mub_per_cell": 0.0, "lattice": [[0.000, 3.335, 3.335], [3.335, 0.000, 3.335], [3.335, 3.335, 0.000]], "species": ["Ho", "Mg", "Pt"], "fractional_positions": [[0.000, 0.000, 0.000], [0.750, 0.750, 0.750], [0.250, 0.250, 0.250]]}

=====

No. 9
{"formula": "HoMgSi2Pt4", "functional": "GGA-PBE", "state": "relaxed", "final_energy_ev_per_atom": -6.102, "total_magnetization_mub_per_cell": 0.0, "lattice": [[7.065, 0.000, 0.000], [0.000, 1.858, 5.081], [0.000, -1.858, 5.081]], "species": ["Ho", "Mg", "Si", "Si", "Pt", "Pt", "Pt", "Pt"], "fractional_positions": [[0.000, 0.000, 0.000], [0.500, 0.908, 0.908], [0.000, 0.719, 0.719], [0.500, 0.183, 0.183], [0.205, 0.308, 0.308], [0.302, 0.590, 0.590], [0.698, 0.590, 0.590], [0.795, 0.308, 0.308]]}

=====

No. 10
{"formula": "Ho2TmMg3Pt3", "functional": "GGA-PBE", "state": "relaxed", "final_energy_ev_per_atom": -5.023, "total_magnetization_mub_per_cell": 0.0, "lattice": [[4.059, 0.000, 0.000], [0.000, 6.326, 3.656], [0.000, -6.326, 3.656]], "species": ["Ho", "Ho", "Tm", "Mg", "Mg", "Mg", "Pt", "Pt", "Pt"], "fractional_positions": [[0.000, 0.205, 0.795], [0.000, 0.795, 0.205], [0.000, 0.614, 0.614], [0.500, 0.205, 0.451], [0.500, 0.451, 0.205], [0.500, 0.958, 0.958], [0.000, 0.206, 0.206], [0.500, 0.539, 0.870], [0.500, 0.870, 0.539]]}

=====

No. 11
{"formula": "YHo2Mg3Pt3", "functional": "GGA-PBE", "state": "relaxed", "final_energy_ev_per_atom": -5.238, "total_magnetization_mub_per_cell": 0.0, "lattice": [[4.069, 0.000, 0.000], [0.000, 6.372, 3.660], [0.000, -6.372, 3.660]], "species": ["Y", "Ho", "Ho", "Mg", "Mg", "Mg", "Pt", "Pt", "Pt"], "fractional_positions": [[0.000, 0.000, 0.000], [0.000, 0.180, 0.590], [0.000, 0.590, 0.180], [0.500, 0.343, 0.343], [0.500, 0.590, 0.835], [0.500, 0.835, 0.590], [0.000, 0.587, 0.587], [0.500, 0.259, 0.922], [0.500, 0.922, 0.259]]}

=====

No. 12
{"formula": "HoPuMg", "functional": "GGA-PBE", "state": "relaxed", "final_energy_ev_per_atom": -6.192, "polymorph_energy_ev_per_atom": 0.0000, "total_magnetization_mub_per_cell": 7.4, "lattice": [[0.000, 3.679, 3.679], [3.679, 0.000, 3.679], [3.679, 3.679, 0.000]], "species": ["Ho", "Pu", "Mg"], "fractional_positions": [[0.000, 0.000, 0.000], [0.500, 0.500, 0.500], [0.250, 0.250, 0.250]]}

=====

No. 13
{"formula": "RbHoMg", "functional": "GGA-PBE", "state": "relaxed", "final_energy_ev_per_atom": -1.427, "total_magnetization_mub_per_cell": 0.4, "lattice": [[0.000, 4.050, 4.050], [4.050, 0.000, 4.050], [4.050, 4.050, 0.000]], "species": ["Rb", "Ho", "Mg"], "fractional_positions": [[0.000, 0.000, 0.000], [0.750, 0.750, 0.750], [0.500, 0.500, 0.500]]}

=====

No. 14
{"formula": "RbHoMgS3", "functional": "GGA-PBE", "state": "relaxed", "final_energy_ev_per_atom": -4.920, "total_magnetization_mub_per_cell": 0.0, "lattice": [[8.934, 0.000, 0.000], [0.000, 4.106, 0.000], [-3.218, 0.000, 9.338]], "species": ["Rb", "Rb", "Ho", "Ho", "Mg", "Mg", "S", "S", "S", "S", "S", "S"], "fractional_positions": [[0.216, 0.250, 0.233], [0.784, 0.750, 0.767], [0.332, 0.750, 0.868], [0.668, 0.250, 0.132], [0.086, 0.250, 0.611], [0.914, 0.750, 0.389], [0.123, 0.250, 0.862], [0.196, 0.750, 0.549], [0.472, 0.750, 0.150], [0.528, 0.250, 0.850], [0.804, 0.250, 0.451], [0.877, 0.750, 0.138]]}

=====

No. 15
{"formula": "HoMgS2", "functional": "GGA-PBE", "state": "relaxed", "final_energy_ev_per_atom": -5.189, "total_magnetization_mub_per_cell": 0.0, "lattice": [[3.811, 0.000, 0.000], [0.000, 3.811, 0.000], [0.000, 0.000, 5.452]], "species": ["Ho", "Mg", "S", "S"], "fractional_positions": [[0.000, 0.000, 0.000], [0.500, 0.500, 0.500], [0.000, 0.000, 0.500], [0.500, 0.500, 0.000]]}

=====

No. 16
{"formula": "HoMg2S3", "functional": "GGA-PBE", "state": "relaxed", "final_energy_ev_per_atom": -4.892, "total_magnetization_mub_per_cell": 0.0, "lattice": [[3.710, 0.000, 0.000], [-1.855, 3.213, 0.000], [0.000, 0.000, 9.432]], "species": ["Ho", "Mg", "Mg", "S", "S", "S"], "fractional_positions": [[0.000, 0.000, 0.000], [0.333, 0.667, 0.659], [0.667, 0.333, 0.341], [0.000, 0.000, 0.500], [0.333, 0.667, 0.184], [0.667, 0.333, 0.816]]}

=====

No. 17
{"formula": "HoMgTlS3", "functional": "GGA-PBE", "state": "relaxed", "final_energy_ev_per_atom": -4.882, "polymorph_energy_ev_per_atom": 0.0000, "total_magnetization_mub_per_cell": 0.0, "lattice": [[8.760, 0.000, 0.000], [0.000, 4.072, 0.000], [-2.748, 0.000, 9.272]], "species": ["Ho", "Ho", "Mg", "Mg", "Tl", "Tl", "S", "S", "S", "S", "S", "S"], "fractional_positions": [[0.168, 0.250, 0.136], [0.832, 0.750, 0.864], [0.428, 0.750, 0.383], [0.572, 0.250, 0.617], [0.285, 0.750, 0.789], [0.715, 0.250, 0.211], [0.038, 0.250, 0.849], [0.305, 0.250, 0.442], [0.375, 0.750, 0.124], [0.625, 0.250, 0.876], [0.695, 0.750, 0.558], [0.962, 0.750, 0.151]]}

=====

No. 18
{"formula": "HoMgTlS3", "functional": "GGA-PBE", "state": "relaxed", "final_energy_ev_per_atom": -4.876, "polymorph_energy_ev_per_atom": 0.0064, "total_magnetization_mub_per_cell": 0.0, "lattice": [[14.431, 0.000, 0.000], [0.000, 4.070, 0.000], [0.000, 0.000, 10.963]], "species": ["Ho", "Ho", "Ho", "Ho", "Mg", "Mg", "Mg", "Mg", "Tl", "Tl", "Tl", "Tl", "S", "S", "S", "S", "S", "S", "S", "S", "S", "S", "S", "S"], "fractional_positions": [[0.025, 0.250, 0.151], [0.475, 0.750, 0.651], [0.525, 0.250, 0.349], [0.975, 0.750, 0.849], [0.024, 0.750, 0.401], [0.476, 0.250, 0.901], [0.524, 0.750, 0.099], [0.976, 0.250, 0.599], [0.248, 0.250, 0.454], [0.252, 0.750, 0.954], [0.748, 0.250, 0.046], [0.752, 0.750, 0.546], [0.070, 0.750, 0.619], [0.093, 0.250, 0.923], [0.134, 0.750, 0.235], [0.366, 0.250, 0.735], [0.407, 0.750, 0.423], [0.430, 0.250, 0.119], [0.570, 0.750, 0.881], [0.593, 0.250, 0.577], [0.634, 0.750, 0.265], [0.866, 0.250, 0.765], [0.907, 0.750, 0.077], [0.930, 0.250, 0.381]]}

=====

No. 19
{"formula": "HoMgTlS3", "functional": "GGA-PBE", "state": "relaxed", "final_energy_ev_per_atom": -4.868, "polymorph_energy_ev_per_atom": 0.0142, "total_magnetization_mub_per_cell": 0.0, "lattice": [[2.030, -7.141, 0.000], [2.030, 7.141, 0.000], [0.000, 0.000, 10.753]], "species": ["Ho", "Ho", "Mg", "Mg", "Tl", "Tl", "S", "S", "S", "S", "S", "S"], "fractional_positions": [[0.000, 0.000, 0.000], [0.000, 0.000, 0.500], [0.462, 0.538, 0.750], [0.538, 0.462, 0.250], [0.255, 0.745, 0.250], [0.745, 0.255, 0.750], [0.060, 0.940, 0.750], [0.378, 0.622, 0.557], [0.378, 0.622, 0.943], [0.622, 0.378, 0.057], [0.622, 0.378, 0.443], [0.940, 0.060, 0.250]]}

=====

No. 20
{"formula": "HoMgSb", "functional": "GGA-PBE", "state": "relaxed", "final_energy_ev_per_atom": -3.679, "polymorph_energy_ev_per_atom": 0.0000, "total_magnetization_mub_per_cell": 0.0, "lattice": [[0.000, 3.503, 3.503], [3.503, 0.000, 3.503], [3.503, 3.503, 0.000]], "species": ["Ho", "Mg", "Sb"], "fractional_positions": [[0.000, 0.000, 0.000], [0.500, 0.500, 0.500], [0.750, 0.750, 0.750]]}

=====

No. 21
{"formula": "Ho2MgSb2", "functional": "GGA-PBE", "state": "relaxed", "final_energy_ev_per_atom": -4.509, "total_magnetization_mub_per_cell": 0.0, "lattice": [[2.252, -9.200, 0.000], [2.252, 9.200, 0.000], [0.000, 0.000, 6.488]], "species": ["Ho", "Ho", "Ho", "Ho", "Mg", "Mg", "Sb", "Sb", "Sb", "Sb"], "fractional_positions": [[0.012, 0.988, 0.500], [0.198, 0.802, 0.188], [0.802, 0.198, 0.688], [0.988, 0.012, 0.000], [0.400, 0.600, 0.285], [0.600, 0.400, 0.785], [0.184, 0.816, 0.682], [0.417, 0.583, 0.731], [0.583, 0.417, 0.231], [0.816, 0.184, 0.182]]}

=====

No. 22
{"formula": "HoMgSb", "functional": "GGA-PBE", "state": "relaxed", "final_energy_ev_per_atom": -3.629, "polymorph_energy_ev_per_atom": 0.0491, "total_magnetization_mub_per_cell": 0.0, "lattice": [[0.000, 3.586, 3.586], [3.586, 0.000, 3.586], [3.586, 3.586, 0.000]], "species": ["Ho", "Mg", "Sb"], "fractional_positions": [[0.000, 0.000, 0.000], [0.750, 0.750, 0.750], [0.250, 0.250, 0.250]]}

=====

No. 23
{"formula": "HoMgSc", "functional": "GGA-PBE", "state": "relaxed", "final_energy_ev_per_atom": -3.365, "polymorph_energy_ev_per_atom": 0.2958, "total_magnetization_mub_per_cell": 0.0, "lattice": [[0.000, 3.591, 3.591], [3.591, 0.000, 3.591], [3.591, 3.591, 0.000]], "species": ["Ho", "Mg", "Sc"], "fractional_positions": [[0.000, 0.000, 0.000], [0.750, 0.750, 0.750], [0.250, 0.250, 0.250]]}

=====

No. 24
{"formula": "HoMgSc", "functional": "GGA-PBE", "state": "relaxed", "final_energy_ev_per_atom": -3.661, "polymorph_energy_ev_per_atom": 0.0000, "total_magnetization_mub_per_cell": 0.2, "lattice": [[0.000, 3.557, 3.557], [3.557, 0.000, 3.557], [3.557, 3.557, 0.000]], "species": ["Ho", "Mg", "Sc"], "fractional_positions": [[0.000, 0.000, 0.000], [0.250, 0.250, 0.250], [0.500, 0.500, 0.500]]}

=====

No. 25
{"formula": "HoMg6Sc", "functional": "GGA-PBE", "state": "relaxed", "final_energy_ev_per_atom": -2.569, "total_magnetization_mub_per_cell": 0.0, "lattice": [[5.086, 0.000, 0.000], [0.000, 5.086, 0.000], [0.000, 0.000, 7.205]], "species": ["Ho", "Mg", "Mg", "Mg", "Mg", "Mg", "Mg", "Sc"], "fractional_positions": [[0.000, 0.000, 0.000], [0.000, 0.000, 0.500], [0.000, 0.500, 0.259], [0.000, 0.500, 0.741], [0.500, 0.000, 0.259], [0.500, 0.000, 0.741], [0.500, 0.500, 0.000], [0.500, 0.500, 0.500]]}